CsK2H4Pd | PBE | relaxed

The structure belongs to space group Cmcm (No. 63); the cell edges are 3.938, 13.667 and 12.611 Å and the angles 90.00°, 90.00° and 90.00°. The asymmetric unit holds Cs at (0.000, 0.064, 0.250), K at (0.000, 0.364, 0.052), H at (0.000, 0.000, 0.000), H at (0.000, 0.247, 0.616), H at (0.000, 0.272, 0.250) and Pd at (0.000, 0.238, 0.750).

Its spin magnetization is 0.00 μB per formula unit. Its energy is -2.894 eV/atom.

CsKHPd2 | PBE | relaxed

The structure belongs to space group P4/mmm (No. 123); the cell edges are 5.447, 5.447 and 5.686 Å and the angles 90.00°, 90.00° and 90.00°. The asymmetric unit holds Cs at (0.000, 0.000, 0.000), K at (0.500, 0.500, 0.500), H at (0.000, 0.000, 0.500) and Pd at (0.000, 0.500, 0.000).

Its spin magnetization is 0.00 μB per formula unit. Its energy is -2.313 eV/atom.

The highest energy belongs to which entry? CsKHPd2

What did the first record say?
CsK2H4Pd | PBE | relaxed

The structure belongs to space group Cmcm (No. 63); the cell edges are 3.938, 13.667 and 12.611 Å and the angles 90.00°, 90.00° and 90.00°. The asymmetric unit holds Cs at (0.000, 0.064, 0.250), K at (0.000, 0.364, 0.052), H at (0.000, 0.000, 0.000), H at (0.000, 0.247, 0.616), H at (0.000, 0.272, 0.250) and Pd at (0.000, 0.238, 0.750).

Its spin magnetization is 0.00 μB per formula unit. Its energy is -2.894 eV/atom.

Number 1 is which compound? CsK2H4Pd